## i
Computed, not measured: a geometry-optimized Tl3Ga2Te4 structure at the PBE level of DFT.

a = 9.583 Å, b = 9.583 Å, c = 7.084 Å
α = 93.00°, β = 93.00°, γ = 74.45°
Fractional positions:
Tl 0.095 0.905 0.750
Tl 0.268 0.514 0.039
Tl 0.486 0.732 0.461
Tl 0.514 0.268 0.539
Tl 0.732 0.486 0.961
Tl 0.905 0.095 0.250
Ga 0.087 0.333 0.582
Ga 0.333 0.087 0.082
Ga 0.667 0.913 0.918
Ga 0.913 0.667 0.418
Te 0.080 0.266 0.951
Te 0.200 0.562 0.535
Te 0.266 0.080 0.451
Te 0.438 0.800 0.965
Te 0.562 0.200 0.035
Te 0.734 0.920 0.549
Te 0.800 0.438 0.465
Te 0.920 0.734 0.049


## ii
Computed, not measured: a geometry-optimized Tl3Ga2Te4 structure at the PBE level of DFT.

a = 8.040 Å, b = 18.541 Å, c = 4.405 Å
α = 90.00°, β = 90.00°, γ = 90.00°
Fractional positions:
Tl 0.000 0.000 0.000
Tl 0.168 0.298 0.500
Tl 0.332 0.798 0.000
Tl 0.500 0.500 0.500
Tl 0.668 0.202 0.000
Tl 0.832 0.702 0.500
Ga 0.124 0.575 0.000
Ga 0.376 0.075 0.500
Ga 0.624 0.925 0.500
Ga 0.876 0.425 0.000
Te 0.216 0.432 0.000
Te 0.238 0.651 0.500
Te 0.262 0.151 0.000
Te 0.284 0.932 0.500
Te 0.716 0.068 0.500
Te 0.738 0.849 0.000
Te 0.762 0.349 0.500
Te 0.784 0.568 0.000


Relative energy of each structure, in eV/atom: i 0.000; ii 0.007.


## i
Computed, not measured: a geometry-optimized TlGaTe3 structure at the PBE level of DFT.

a = 5.814 Å, b = 5.814 Å, c = 5.814 Å
α = 90.00°, β = 90.00°, γ = 90.00°
Fractional positions:
Tl 0.000 0.000 0.000
Ga 0.500 0.500 0.500
Te 0.000 0.000 0.500
Te 0.000 0.500 0.000
Te 0.500 0.000 0.000


## ii
Computed, not measured: a geometry-optimized TlGaTe3 structure at the PBE level of DFT.

a = 5.960 Å, b = 7.295 Å, c = 9.362 Å
α = 90.00°, β = 103.07°, γ = 90.00°
Fractional positions:
Tl 0.239 0.000 0.327
Tl 0.761 0.500 0.673
Ga 0.467 0.931 0.879
Ga 0.533 0.431 0.121
Te 0.135 0.104 0.685
Te 0.320 0.471 0.348
Te 0.341 0.583 0.870
Te 0.659 0.083 0.130
Te 0.680 0.971 0.652
Te 0.865 0.604 0.315


## iii
Computed, not measured: a geometry-optimized TlGaTe3 structure at the PBE level of DFT.

a = 4.356 Å, b = 6.250 Å, c = 7.325 Å
α = 69.70°, β = 80.77°, γ = 87.26°
Fractional positions:
Tl 0.000 0.000 0.000
Ga 0.675 0.378 0.359
Te 0.224 0.448 0.120
Te 0.383 0.740 0.415
Te 0.601 0.974 0.640


Relative energy of each structure, in eV/atom: i 0.715; ii 0.000; iii 0.015.


## i
Computed, not measured: a geometry-optimized Tm2GaTe structure at the PBE level of DFT.

a = 11.755 Å, b = 11.755 Å, c = 4.096 Å
α = 90.00°, β = 90.00°, γ = 158.90°
Fractional positions:
Tm 0.062 0.938 0.750
Tm 0.336 0.664 0.750
Tm 0.664 0.336 0.250
Tm 0.938 0.062 0.250
Ga 0.462 0.538 0.750
Ga 0.538 0.462 0.250
Te 0.195 0.805 0.750
Te 0.805 0.195 0.250


## ii
Computed, not measured: a geometry-optimized Tm2GaTe structure at the PBE level of DFT.

a = 8.109 Å, b = 8.109 Å, c = 8.109 Å
α = 28.30°, β = 28.30°, γ = 28.30°
Fractional positions:
Tm 0.000 0.000 0.000
Tm 0.178 0.178 0.178
Ga 0.590 0.590 0.590
Te 0.421 0.421 0.421


Relative energy of each structure, in eV/atom: i 0.000; ii 0.133.


## i
Computed, not measured: a geometry-optimized Tm3GaTe2 structure at the PBE level of DFT.

a = 7.607 Å, b = 7.607 Å, c = 4.473 Å
α = 90.00°, β = 90.00°, γ = 133.83°
Fractional positions:
Tm 0.000 0.000 0.000
Tm 0.375 0.625 0.500
Tm 0.625 0.375 0.500
Ga 0.500 0.500 0.000
Te 0.153 0.847 0.500
Te 0.847 0.153 0.500


## ii
Computed, not measured: a geometry-optimized Tm3GaTe2 structure at the PBE level of DFT.

a = 7.511 Å, b = 7.511 Å, c = 7.511 Å
α = 147.87°, β = 132.88°, γ = 58.18°
Fractional positions:
Tm 0.000 0.000 0.000
Tm 0.351 0.351 0.000
Tm 0.649 0.649 0.000
Ga 0.500 0.000 0.500
Te 0.174 0.674 0.500
Te 0.826 0.326 0.500


Relative energy of each structure, in eV/atom: i 0.099; ii 0.000.


## i
Computed, not measured: a geometry-optimized Tm4GaTe3 structure at the PBE level of DFT.

a = 7.448 Å, b = 7.448 Å, c = 4.238 Å
α = 90.00°, β = 90.00°, γ = 109.05°
Fractional positions:
Tm 0.224 0.224 0.500
Tm 0.232 0.768 0.000
Tm 0.768 0.232 0.000
Tm 0.776 0.776 0.500
Ga 0.000 0.000 0.000
Te 0.000 0.500 0.500
Te 0.500 0.000 0.500
Te 0.500 0.500 0.000


## ii
Computed, not measured: a geometry-optimized Tm4GaTe3 structure at the PBE level of DFT.

a = 6.040 Å, b = 12.110 Å, c = 6.040 Å
α = 90.00°, β = 90.00°, γ = 90.00°
Fractional positions:
Tm 0.250 0.016 0.249
Tm 0.250 0.250 0.750
Tm 0.250 0.484 0.249
Tm 0.250 0.750 0.750
Tm 0.750 0.250 0.250
Tm 0.750 0.516 0.751
Tm 0.750 0.750 0.250
Tm 0.750 0.984 0.751
Ga 0.250 0.250 0.250
Ga 0.750 0.750 0.750
Te 0.250 0.000 0.749
Te 0.250 0.500 0.749
Te 0.250 0.750 0.250
Te 0.750 0.000 0.251
Te 0.750 0.250 0.750
Te 0.750 0.500 0.251


Relative energy of each structure, in eV/atom: i 0.000; ii 0.022.


## i
Computed, not measured: a geometry-optimized Tm5Ga2Te structure at the PBE level of DFT.

a = 8.463 Å, b = 8.463 Å, c = 8.463 Å
α = 123.37°, β = 123.37°, γ = 84.25°
Fractional positions:
Tm 0.000 0.000 0.000
Tm 0.009 0.509 0.803
Tm 0.205 0.009 0.500
Tm 0.295 0.795 0.803
Tm 0.491 0.295 0.500
Tm 0.500 0.500 0.000
Tm 0.509 0.705 0.500
Tm 0.705 0.205 0.197
Tm 0.795 0.991 0.500
Tm 0.991 0.491 0.197
Ga 0.150 0.350 0.500
Ga 0.350 0.850 0.200
Ga 0.650 0.150 0.800
Ga 0.850 0.650 0.500
Te 0.250 0.250 0.000
Te 0.750 0.750 0.000


## ii
Computed, not measured: a geometry-optimized Tm5Ga2Te structure at the PBE level of DFT.

a = 6.026 Å, b = 6.240 Å, c = 6.271 Å
α = 112.92°, β = 99.23°, γ = 99.68°
Fractional positions:
Tm 0.000 0.000 0.000
Tm 0.035 0.450 0.866
Tm 0.119 0.563 0.428
Tm 0.550 0.357 0.002
Tm 0.638 0.949 0.456
Ga 0.167 0.073 0.507
Ga 0.635 0.463 0.530
Te 0.472 0.829 0.926


Relative energy of each structure, in eV/atom: i 0.000; ii 0.186.


## i
Computed, not measured: a geometry-optimized V2GaTe structure at the PBE level of DFT.

a = 9.670 Å, b = 9.670 Å, c = 9.670 Å
α = 156.41°, β = 156.41°, γ = 33.61°
Fractional positions:
V 0.091 0.625 0.966
V 0.375 0.341 0.466
V 0.659 0.125 0.034
V 0.875 0.909 0.534
Ga 0.000 0.000 0.000
Ga 0.750 0.250 0.500
Te 0.250 0.750 0.500
Te 0.500 0.500 0.000


## ii
Computed, not measured: a geometry-optimized V2GaTe structure at the PBE level of DFT.

a = 4.507 Å, b = 4.507 Å, c = 4.507 Å
α = 60.00°, β = 60.00°, γ = 60.00°
Fractional positions:
V 0.250 0.250 0.250
V 0.750 0.750 0.750
Ga 0.000 0.000 0.000
Te 0.500 0.500 0.500


Relative energy of each structure, in eV/atom: i 0.173; ii 0.000.


## i
Computed, not measured: a geometry-optimized VGaTe3 structure at the PBE level of DFT.

a = 7.054 Å, b = 3.933 Å, c = 11.450 Å
α = 90.00°, β = 98.20°, γ = 90.00°
Fractional positions:
V 0.020 0.250 0.164
V 0.980 0.750 0.836
Ga 0.482 0.750 0.251
Ga 0.518 0.250 0.749
Te 0.143 0.250 0.714
Te 0.219 0.750 0.051
Te 0.319 0.250 0.355
Te 0.681 0.750 0.645
Te 0.781 0.250 0.949
Te 0.857 0.750 0.286


## ii
Computed, not measured: a geometry-optimized VGaTe3 structure at the PBE level of DFT.

a = 5.325 Å, b = 5.325 Å, c = 5.325 Å
α = 90.00°, β = 90.00°, γ = 90.00°
Fractional positions:
V 0.000 0.000 0.000
Ga 0.500 0.500 0.500
Te 0.000 0.500 0.500
Te 0.500 0.000 0.500
Te 0.500 0.500 0.000


## iii
Computed, not measured: a geometry-optimized VGaTe3 structure at the PBE level of DFT.

a = 5.296 Å, b = 5.296 Å, c = 5.296 Å
α = 90.00°, β = 90.00°, γ = 90.00°
Fractional positions:
V 0.000 0.000 0.000
Ga 0.500 0.500 0.500
Te 0.000 0.000 0.500
Te 0.000 0.500 0.000
Te 0.500 0.000 0.000


Relative energy of each structure, in eV/atom: i 0.000; ii 0.934; iii 0.378.


## i
Computed, not measured: a geometry-optimized GaTeW3 structure at the PBE level of DFT.

a = 4.675 Å, b = 4.675 Å, c = 4.675 Å
α = 90.00°, β = 90.00°, γ = 90.00°
Fractional positions:
Ga 0.000 0.000 0.000
Te 0.500 0.500 0.500
W 0.000 0.000 0.500
W 0.000 0.500 0.000
W 0.500 0.000 0.000


## ii
Computed, not measured: a geometry-optimized GaTeW3 structure at the PBE level of DFT.

a = 4.882 Å, b = 4.882 Å, c = 4.882 Å
α = 90.00°, β = 90.00°, γ = 90.00°
Fractional positions:
Ga 0.000 0.000 0.000
Te 0.500 0.500 0.500
W 0.000 0.500 0.500
W 0.500 0.000 0.500
W 0.500 0.500 0.000


Relative energy of each structure, in eV/atom: i 0.000; ii 0.548.


## i
Computed, not measured: a geometry-optimized GaTe3W structure at the PBE level of DFT.

a = 5.371 Å, b = 5.371 Å, c = 5.371 Å
α = 90.00°, β = 90.00°, γ = 90.00°
Fractional positions:
Ga 0.000 0.000 0.000
Te 0.000 0.500 0.500
Te 0.500 0.000 0.500
Te 0.500 0.500 0.000
W 0.500 0.500 0.500


## ii
Computed, not measured: a geometry-optimized GaTe3W structure at the PBE level of DFT.

a = 5.249 Å, b = 5.249 Å, c = 5.249 Å
α = 90.00°, β = 90.00°, γ = 90.00°
Fractional positions:
Ga 0.000 0.000 0.000
Te 0.000 0.000 0.500
Te 0.000 0.500 0.000
Te 0.500 0.000 0.000
W 0.500 0.500 0.500


Relative energy of each structure, in eV/atom: i 0.000; ii 0.825.


## i
Computed, not measured: a geometry-optimized YGaTe3 structure at the PBE level of DFT.

a = 5.887 Å, b = 5.887 Å, c = 5.887 Å
α = 90.00°, β = 90.00°, γ = 90.00°
Fractional positions:
Y 0.000 0.000 0.000
Ga 0.500 0.500 0.500
Te 0.000 0.000 0.500
Te 0.000 0.500 0.000
Te 0.500 0.000 0.000


## ii
Computed, not measured: a geometry-optimized YGaTe3 structure at the PBE level of DFT.

a = 5.356 Å, b = 5.356 Å, c = 5.356 Å
α = 90.00°, β = 90.00°, γ = 90.00°
Fractional positions:
Y 0.000 0.000 0.000
Ga 0.500 0.500 0.500
Te 0.000 0.500 0.500
Te 0.500 0.000 0.500
Te 0.500 0.500 0.000


Relative energy of each structure, in eV/atom: i 0.000; ii 0.080.